No. 1
This record from Alexandria describes an optimized crystal structure of NaGaH2Se. The functional is PBEsol.

Lattice parameters (Å, degrees): 3.702 3.702 6.352 90.00 90.00 90.00
Positions (direct):
Na 0.000 0.000 0.000
Ga 0.000 0.000 0.500
H 0.000 0.500 0.500
H 0.500 0.000 0.500
Se 0.500 0.500 0.000

For the electronic total energy, the calculation gives -2.833 eV/atom. The value obtained for the volume is 17.41 A^3/atom.



No. 2
This record from Alexandria describes an optimized crystal structure of TcNi2Ag. The functional is PBEsol.

Lattice parameters (Å, degrees): 4.063 5.024 5.024 29.65 90.00 90.00
Positions (direct):
Tc 0.000 0.000 0.000
Ni 0.000 0.729 0.729
Ni 0.500 0.593 0.593
Ag 0.500 0.335 0.335

The value obtained for the volume is 12.69 A^3/atom. The energy of formation from the pure elements is 0.244 eV per atom. As for the offset from the most stable computed form: 31 meV/atom.



No. 3
This record from Alexandria describes an optimized crystal structure of MgCr2Tc. The functional is PBEsol.

Lattice parameters (Å, degrees): 4.984 4.984 2.526 99.92 99.92 117.35
Positions (direct):
Mg 0.000 0.000 0.000
Cr 0.000 0.500 0.500
Cr 0.500 0.000 0.500
Tc 0.500 0.500 0.000

The value obtained for the volume is 13.14 A^3/atom. The energy of formation from the pure elements is 0.432 eV per atom.



No. 4
This record from Alexandria describes an optimized crystal structure of TiRhS3. The functional is PBEsol.

Lattice parameters (Å, degrees): 4.566 4.566 4.566 90.00 90.00 90.00
Positions (direct):
Ti 0.000 0.000 0.000
Rh 0.500 0.500 0.500
S 0.000 0.000 0.500
S 0.000 0.500 0.000
S 0.500 0.000 0.000

The value obtained for the volume is 19.04 A^3/atom. The calculation puts the uncorrected formation energy at 0.156 eV per atom.



No. 5
This record from Alexandria describes an optimized crystal structure of KLiSi2. The functional is PBEsol.

Lattice parameters (Å, degrees): 4.705 4.705 6.794 114.45 114.45 47.13
Positions (direct):
K 0.000 0.000 0.000
Li 0.810 0.810 0.460
Si 0.165 0.165 0.614
Si 0.496 0.496 0.429

The value obtained for the volume is 24.58 A^3/atom. The calculation puts the uncorrected formation energy at 0.027 eV per atom. As for the offset from the most stable computed form: 0 meV/atom.



No. 6
This record from Alexandria describes an optimized crystal structure of KNaBi3. The functional is PBEsol.

Lattice parameters (Å, degrees): 5.585 5.585 5.585 90.00 90.00 90.00
Positions (direct):
K 0.000 0.000 0.000
Na 0.500 0.500 0.500
Bi 0.000 0.500 0.500
Bi 0.500 0.000 0.500
Bi 0.500 0.500 0.000

The value obtained for the volume is 34.85 A^3/atom. The energy of formation from the pure elements is 0.223 eV per atom.



No. 7
This record from Alexandria describes an optimized crystal structure of BeZn2Tc. The functional is PBEsol.

Lattice parameters (Å, degrees): 4.568 4.568 4.568 133.41 133.41 68.01
Positions (direct):
Be 0.000 0.000 0.000
Zn 0.250 0.750 0.500
Zn 0.500 0.500 0.000
Tc 0.750 0.250 0.500

The value obtained for the volume is 12.36 A^3/atom. The energy of formation from the pure elements is 0.122 eV per atom.



No. 8
This record from Alexandria describes an optimized crystal structure of LaMg2Te. The functional is PBEsol.

Lattice parameters (Å, degrees): 4.536 4.536 5.197 90.00 90.00 90.00
Positions (direct):
La 0.000 0.000 0.000
Mg 0.000 0.500 0.500
Mg 0.500 0.000 0.500
Te 0.500 0.500 0.000

The value obtained for the volume is 26.74 A^3/atom. The calculation puts the uncorrected formation energy at -0.581 eV per atom.